CaRu2W | PBE-GGA | optimized geometry

- energy of formation from the pure elements (eV/atom) = 0.500
- raw total energy (eV/atom) = -7.877
- energy above the lowest structure with this stoichiometry (meV per atom) = 402

Cell: 2.8190 4.6200 5.2598 Å, 90.00 102.11 90.00°
Last column: nearest neighbours and their distance in Å.
Fractional positions:
Ca: 0.0000 0.0000 0.0000  4 Ru 2.69-2.74, 2 Ca 2.82, 2 W 2.99
Ru: 0.4622 0.0000 0.5017  2 W 2.63, 2 Ca 2.69-2.74, 2 Ru 2.82
Ru: 0.7249 0.5000 0.2057  2 W 2.71, 2 Ca 2.73, 4 Ru 2.82-2.97
W: 0.2679 0.5000 0.6971  4 Ru 2.63-2.71, 2 W 2.82

CaRu2W | PBE-GGA | optimized geometry

- energy of formation from the pure elements (eV/atom) = 0.381
- raw total energy (eV/atom) = -7.995
- energy above the lowest structure with this stoichiometry (meV per atom) = 284

Cell: 8.8782 3.0654 5.7555 Å, 90.00 104.40 90.00°
Last column: nearest neighbours and their distance in Å.
Fractional positions:
Ca: 0.0000 0.0000 0.0000  6 Ru 3.05-3.09, 2 Ca 3.07, 4 W 3.26
Ca: 0.5000 0.5000 0.0000  6 Ru 3.05-3.09, 2 Ca 3.07, 4 W 3.26
Ru: 0.2241 0.0000 0.6758  2 W 2.52, 2 Ru 2.67
Ru: 0.2759 0.5000 0.3242  2 W 2.52, 2 Ru 2.67
Ru: 0.7241 0.5000 0.6758  2 W 2.52, 2 Ru 2.67
Ru: 0.7759 0.0000 0.3242  2 W 2.52, 2 Ru 2.67
W: 0.0000 0.5000 0.5000  4 Ru 2.52
W: 0.5000 0.0000 0.5000  4 Ru 2.52

CaRu2W | PBE-GGA | optimized geometry

- energy of formation from the pure elements (eV/atom) = 0.233
- raw total energy (eV/atom) = -8.143
- energy above the lowest structure with this stoichiometry (meV per atom) = 136

Cell: 6.4013 6.4013 6.4013 Å, 90.00 90.00 90.00°
Last column: nearest neighbours and their distance in Å.
Fractional positions:
Ca: 0.0000 0.0000 0.0000  8 Ru 2.77
Ca: 0.0000 0.5000 0.5000  8 Ru 2.77
Ca: 0.5000 0.0000 0.5000  8 Ru 2.77
Ca: 0.5000 0.5000 0.0000  8 Ru 2.77
Ru: 0.2500 0.2500 0.2500  4 W 2.77, 4 Ca 2.77
Ru: 0.2500 0.2500 0.7500  4 Ca 2.77, 4 W 2.77
Ru: 0.2500 0.7500 0.2500  4 Ca 2.77, 4 W 2.77
Ru: 0.2500 0.7500 0.7500  4 W 2.77, 4 Ca 2.77
Ru: 0.7500 0.2500 0.2500  4 Ca 2.77, 4 W 2.77
Ru: 0.7500 0.2500 0.7500  4 W 2.77, 4 Ca 2.77
Ru: 0.7500 0.7500 0.2500  4 W 2.77, 4 Ca 2.77
Ru: 0.7500 0.7500 0.7500  4 Ca 2.77, 4 W 2.77
W: 0.0000 0.0000 0.5000  8 Ru 2.77
W: 0.0000 0.5000 0.0000  8 Ru 2.77
W: 0.5000 0.0000 0.0000  8 Ru 2.77
W: 0.5000 0.5000 0.5000  8 Ru 2.77

Ca2Ru2W | PBE-GGA | optimized geometry

- energy of formation from the pure elements (eV/atom) = 0.918
- raw total energy (eV/atom) = -6.184
- energy above the lowest structure with this stoichiometry (meV per atom) = 701

Cell: 3.3824 3.3824 19.7584 Å, 90.00 90.00 90.00°
Last column: nearest neighbours and their distance in Å.
Fractional positions:
Ca: 0.0000 0.0000 0.1136  4 Ru 3.18, 4 W 3.28, 4 Ca 3.38
Ca: 0.0000 0.0000 0.8864  4 Ru 3.18, 4 W 3.28, 4 Ca 3.38
Ca: 0.5000 0.5000 0.3864  4 Ru 3.18, 4 W 3.28, 4 Ca 3.38
Ca: 0.5000 0.5000 0.6136  4 Ru 3.18, 4 W 3.28, 4 Ca 3.38
Ru: 0.0000 0.5000 0.2500  4 Ru 2.39
Ru: 0.0000 0.5000 0.7500  4 Ru 2.39
Ru: 0.5000 0.0000 0.2500  4 Ru 2.39
Ru: 0.5000 0.0000 0.7500  4 Ru 2.39
W: 0.0000 0.0000 0.5000  8 Ca 3.28, 4 W 3.38
W: 0.5000 0.5000 0.0000  8 Ca 3.28, 4 W 3.38

CaRu2W | PBE-GGA | optimized geometry

- energy of formation from the pure elements (eV/atom) = 0.699
- raw total energy (eV/atom) = -7.677
- energy above the lowest structure with this stoichiometry (meV per atom) = 602

Cell: 3.1567 4.2923 4.9465 Å, 90.00 90.00 90.00°
Last column: nearest neighbours and their distance in Å.
Fractional positions:
Ca: 0.0000 0.0000 0.0000  4 Ru 2.66, 4 W 2.93
Ru: 0.0000 0.5000 0.5000  4 W 2.66, 4 Ru 2.93
Ru: 0.5000 0.5000 0.0000  4 Ca 2.66, 4 Ru 2.93
W: 0.5000 0.0000 0.5000  4 Ru 2.66, 4 Ca 2.93

CaRuW | PBE-GGA | optimized geometry

- energy of formation from the pure elements (eV/atom) = 0.611
- raw total energy (eV/atom) = -7.465
- energy above the lowest structure with this stoichiometry (meV per atom) = 173

Cell: 2.9713 2.9713 7.2100 Å, 90.00 90.00 120.00°
Last column: nearest neighbours and their distance in Å.
Fractional positions:
Ca: 0.0000 0.0000 0.0000  6 Ca 2.97, 3 Ru 3.05, 3 W 3.21
Ru: 0.6667 0.3333 0.3498  3 W 2.61
W: 0.3333 0.6667 0.6229  3 Ru 2.61

CaRu2W | PBE-GGA | optimized geometry

- energy of formation from the pure elements (eV/atom) = 0.576
- raw total energy (eV/atom) = -7.801
- energy above the lowest structure with this stoichiometry (meV per atom) = 478

Cell: 4.8945 2.8376 5.3012 Å, 90.00 114.12 90.00°
Last column: nearest neighbours and their distance in Å.
Fractional positions:
Ca: 0.0000 0.0000 0.0000  6 Ru 2.65-2.83, 2 Ca 2.84
Ru: 0.0000 0.0000 0.5000  2 Ca 2.65, 4 W 2.83, 2 Ru 2.84
Ru: 0.5000 0.5000 0.0000  2 W 2.65, 4 Ca 2.83, 2 Ru 2.84
W: 0.5000 0.5000 0.5000  6 Ru 2.65-2.83, 2 W 2.84

CaRu2W | PBE-GGA | optimized geometry

- energy of formation from the pure elements (eV/atom) = 0.729
- raw total energy (eV/atom) = -7.647
- energy above the lowest structure with this stoichiometry (meV per atom) = 632

Cell: 6.4014 6.4014 6.4014 Å, 90.00 90.00 90.00°
Last column: nearest neighbours and their distance in Å.
Fractional positions:
Ca: 0.0000 0.0000 0.0000  4 W 2.77, 4 Ru 2.77
Ca: 0.0000 0.5000 0.5000  4 W 2.77, 4 Ru 2.77
Ca: 0.5000 0.0000 0.5000  4 W 2.77, 4 Ru 2.77
Ca: 0.5000 0.5000 0.0000  4 W 2.77, 4 Ru 2.77
Ru: 0.0000 0.0000 0.5000  4 W 2.77, 4 Ru 2.77
Ru: 0.0000 0.5000 0.0000  4 W 2.77, 4 Ru 2.77
Ru: 0.2500 0.2500 0.7500  4 Ru 2.77, 4 Ca 2.77
Ru: 0.2500 0.7500 0.2500  4 Ru 2.77, 4 Ca 2.77
Ru: 0.5000 0.0000 0.0000  4 W 2.77, 4 Ru 2.77
Ru: 0.5000 0.5000 0.5000  4 W 2.77, 4 Ru 2.77
Ru: 0.7500 0.2500 0.2500  4 Ru 2.77, 4 Ca 2.77
Ru: 0.7500 0.7500 0.7500  4 Ru 2.77, 4 Ca 2.77
W: 0.2500 0.2500 0.2500  4 Ru 2.77, 4 Ca 2.77
W: 0.2500 0.7500 0.7500  4 Ru 2.77, 4 Ca 2.77
W: 0.7500 0.2500 0.7500  4 Ru 2.77, 4 Ca 2.77
W: 0.7500 0.7500 0.2500  4 Ru 2.77, 4 Ca 2.77